Material: CsScOs3
Method: DFT, PBE
State: relaxed

Lattice parameters (Å, degrees): 4.8919 4.8919 4.8919 90.00 90.00 90.00
Space group Pm-3m (No. 221)
Asymmetric unit:
Cs 0.0000 0.0000 0.0000 (multiplicity 1)
Sc 0.5000 0.5000 0.5000 (multiplicity 1)
Os 0.0000 0.0000 0.5000 (multiplicity 3)

DFT formation energy	75.87	kcal/mol of atoms
calculated total energy	-4.88	eV per atom
calculated volume	23.41	Å³ per atom
theoretical density	10.62	g cm⁻³
total magnetic moment	0.000	μB/f.u.